Entry from the Alexandria database: a relaxed ZrMo4W5 crystal (PBE).

Cell lengths 4.5247, 6.9138, 7.2607 Å; angles 123.89, 108.16, 90.00 degrees
Closest atoms and distances in Å follow each position.
Element x y z (fractional)
Zr 0.5000 0.0000 0.0000  6 Mo 2.73-2.81
W 0.2260 0.3247 0.4521  3 W 2.65-2.75, 2 Mo 2.67-2.75
W 0.8602 0.4188 0.7204  3 Mo 2.60-2.79, 5 W 2.65-2.81
W 0.7740 0.6753 0.5479  3 W 2.65-2.75, 2 Mo 2.67-2.75
W 0.1398 0.5812 0.2796  3 Mo 2.60-2.79, 5 W 2.65-2.81
W 0.5000 0.5000 0.0000  2 Mo 2.60, 4 W 2.81
Mo 0.6857 0.9430 0.3715  3 W 2.60-2.75, 4 Mo 2.69-2.76, 1 Zr 2.81
Mo 0.9480 0.1432 0.8961  3 W 2.60-2.79, 2 Zr 2.73, 2 Mo 2.76
Mo 0.3142 0.0570 0.6285  3 W 2.60-2.75, 4 Mo 2.69-2.76, 1 Zr 2.81
Mo 0.0519 0.8568 0.1039  3 W 2.60-2.79, 2 Zr 2.73, 2 Mo 2.76

Summary:
E_form, eV/atom: 0.38
Final energy, eV per atom: -11.29
Crystal system: monoclinic

Entry from the Alexandria database: a relaxed CaAc2Ru crystal (PBE).

Cell lengths 4.1865, 6.9838, 10.6013 Å; angles 81.93, 101.39, 90.00 degrees
Closest atoms and distances in Å follow each position.
Element x y z (fractional)
Ru 0.7407 0.8235 0.4814  5 Ac 2.84-2.99
Ru 0.2593 0.1765 0.5186  5 Ac 2.84-2.99
Ac 0.8491 0.0603 0.6981  3 Ru 2.84-2.98
Ac 0.6815 0.4121 0.3631  3 Ru 2.99-3.28
Ac 0.3185 0.5879 0.6369  3 Ru 2.99-3.28
Ac 0.1509 0.9397 0.3019  3 Ru 2.84-2.98
Ca 0.4983 0.2524 0.9965  2 Ca 3.47-3.52
Ca 0.5017 0.7476 0.0035  2 Ca 3.47-3.52

Summary:
Energy relative to the lowest polymorph listed for this composition, eV per atom: 0.056
E_form, eV/atom: -0.05
Final energy, eV per atom: -4.92
Crystal system: monoclinic

Entry from the Alexandria database: a relaxed Zn2Rh3 crystal (PBE).

Cell lengths 7.9201, 6.9296, 5.1291 Å; angles 80.61, 59.68, 39.71 degrees
Closest atoms and distances in Å follow each position.
Element x y z (fractional)
Zn 0.1916 0.9071 0.3527  9 Rh 2.58-2.87, 2 Zn 2.76
Zn 0.3429 0.0584 0.7014  9 Rh 2.58-2.87, 2 Zn 2.76
Zn 0.5486 0.3527 0.9071  9 Rh 2.58-2.87, 2 Zn 2.76
Zn 0.8973 0.7014 0.0584  9 Rh 2.58-2.87, 2 Zn 2.76
Rh 0.7294 0.4709 0.3472  6 Zn 2.59-2.87, 5 Rh 2.64-2.81
Rh 0.4524 0.3472 0.4709  6 Zn 2.59-2.87, 5 Rh 2.64-2.81
Rh 0.0779 0.9221 0.9221  6 Zn 2.58-2.74, 4 Rh 2.70-2.81
Rh 0.9028 0.7976 0.5206  6 Zn 2.59-2.87, 5 Rh 2.64-2.81
Rh 0.3279 0.1721 0.1721  6 Zn 2.58-2.74, 4 Rh 2.70-2.81
Rh 0.7791 0.5206 0.7976  6 Zn 2.59-2.87, 5 Rh 2.64-2.81

Summary:
Energy relative to the lowest polymorph listed for this composition, eV per atom: 0.082
E_form, eV/atom: -0.18
Final energy, eV per atom: -5.10
Crystal system: orthorhombic

Entry from the Alexandria database: a relaxed Re4As crystal (PBE).

Cell lengths 6.3517, 6.3517, 6.3517 Å; angles 143.15, 143.15, 53.10 degrees
Closest atoms and distances in Å follow each position.
Element x y z (fractional)
As 0.0000 0.0000 0.0000  16 Re 3.13-3.48
Re 0.2500 0.7500 0.5000  4 Re 2.52
Re 0.3843 0.3843 0.0000  5 Re 2.52-2.63
Re 0.6157 0.6157 0.0000  5 Re 2.52-2.63
Re 0.7500 0.2500 0.5000  4 Re 2.52

Summary:
Energy relative to the lowest polymorph listed for this composition, eV per atom: 0.328
E_form, eV/atom: 0.66
Final energy, eV per atom: -10.22
Crystal system: tetragonal

Entry from the Alexandria database: a relaxed RbCaScBr6 crystal (PBE).

Cell lengths 7.3142, 7.3142, 15.0512 Å; angles 90.00, 90.00, 120.00 degrees
Closest atoms and distances in Å follow each position.
Element x y z (fractional)
Ca 0.6667 0.3333 0.7500  6 Br 2.91
Ca 0.3333 0.6667 0.2500  6 Br 2.91
Br 0.3848 0.0239 0.1454  1 Sc 2.68, 1 Ca 2.91
Br 0.0239 0.6392 0.8546  1 Sc 2.68, 1 Ca 2.91
Br 0.6152 0.6392 0.6454  1 Sc 2.68, 1 Ca 2.91
Br 0.3608 0.9761 0.6454  1 Sc 2.68, 1 Ca 2.91
Br 0.9761 0.6152 0.3546  1 Sc 2.68, 1 Ca 2.91
Br 0.9761 0.3608 0.1454  1 Sc 2.68, 1 Ca 2.91
Br 0.6392 0.0239 0.3546  1 Sc 2.68, 1 Ca 2.91
Br 0.3608 0.3848 0.8546  1 Sc 2.68, 1 Ca 2.91
Br 0.3848 0.3608 0.3546  1 Sc 2.68, 1 Ca 2.91
Br 0.6392 0.6152 0.1454  1 Sc 2.68, 1 Ca 2.91
Br 0.0239 0.3848 0.6454  1 Sc 2.68, 1 Ca 2.91
Br 0.6152 0.9761 0.8546  1 Sc 2.68, 1 Ca 2.91
Rb 0.0000 0.0000 0.0000  6 Br 3.50
Rb 0.0000 0.0000 0.5000  6 Br 3.50
Sc 0.3333 0.6667 0.7500  6 Br 2.68
Sc 0.6667 0.3333 0.2500  6 Br 2.68

Summary:
Formation energy from raw total energies, kJ per mole of atoms: -179
Final energy, eV per atom: -4.00
Crystal system: trigonal

Entry from the Alexandria database: a relaxed Fe4Co2Rh crystal (PBE).

Cell lengths 4.8056, 9.4734, 7.5148 Å; angles 137.30, 93.76, 59.45 degrees
Closest atoms and distances in Å follow each position.
Element x y z (fractional)
Fe 0.3807 0.5409 0.7301  2 Co 2.45, 4 Fe 2.49-2.54, 2 Rh 2.54-2.57
Fe 0.1084 0.9671 0.2968  4 Co 2.44-2.51, 3 Fe 2.50, 1 Rh 2.57
Fe 0.8916 0.0329 0.7032  4 Co 2.44-2.51, 3 Fe 2.50, 1 Rh 2.57
Fe 0.7539 0.7444 0.0098  3 Co 2.42-2.46, 3 Fe 2.49-2.50, 2 Rh 2.56-2.57
Fe 0.9807 0.6699 0.5580  1 Co 2.49, 5 Fe 2.50-2.54, 2 Rh 2.53-2.59
Fe 0.6193 0.4591 0.2699  2 Co 2.45, 4 Fe 2.49-2.54, 2 Rh 2.54-2.57
Fe 0.2461 0.2556 0.9902  3 Co 2.42-2.46, 3 Fe 2.49-2.50, 2 Rh 2.56-2.57
Fe 0.0193 0.3301 0.4420  1 Co 2.49, 5 Fe 2.50-2.54, 2 Rh 2.53-2.59
Co 0.8200 0.3911 0.8542  5 Fe 2.42-2.48, 3 Co 2.51-2.53
Co 0.5347 0.8222 0.4307  5 Fe 2.45-2.51, 3 Co 2.51-2.53
Co 0.1800 0.6089 0.1458  5 Fe 2.42-2.48, 3 Co 2.51-2.53
Co 0.4653 0.1778 0.5693  5 Fe 2.45-2.51, 3 Co 2.51-2.53
Rh 0.3374 0.8866 0.8486  8 Fe 2.53-2.82, 2 Rh 2.65-2.83
Rh 0.6626 0.1134 0.1514  8 Fe 2.53-2.82, 2 Rh 2.65-2.83

Summary:
E_form, eV/atom: -0.01
Final energy, eV per atom: -7.93
Crystal system: triclinic

Entry from the Alexandria database: a relaxed Pa4Si crystal (PBE).

Cell lengths 5.2352, 5.2352, 5.2352 Å; angles 90.00, 90.00, 90.00 degrees
Closest atoms and distances in Å follow each position.
Element x y z (fractional)
Pa 0.0000 0.5000 0.5000  2 Si 2.62
Pa 0.0000 0.0000 0.0000  12 Pa 3.70
Pa 0.5000 0.5000 0.0000  2 Si 2.62
Pa 0.5000 0.0000 0.5000  2 Si 2.62
Si 0.5000 0.5000 0.5000  6 Pa 2.62

Summary:
Formation energy from raw total energies, kJ per mole of atoms: 57
Energy relative to the lowest polymorph listed for this composition, eV per atom: 0.428
Final energy, eV per atom: -8.09
Crystal system: cubic

Entry from the Alexandria database: a relaxed BaTc2W crystal (PBE).

Cell lengths 4.7425, 4.7425, 4.7425 Å; angles 60.00, 60.00, 60.00 degrees
Closest atoms and distances in Å follow each position.
Element x y z (fractional)
W 0.5000 0.5000 0.5000  8 Tc 2.90
Ba 0.0000 0.0000 0.0000  8 Tc 2.90
Tc 0.2500 0.2500 0.2500  4 W 2.90, 4 Ba 2.90
Tc 0.7500 0.7500 0.7500  4 Ba 2.90, 4 W 2.90

Summary:
Energy relative to the lowest polymorph listed for this composition, eV per atom: 0.580
E_form, eV/atom: 1.17
Final energy, eV per atom: -7.73
Crystal system: cubic

no.,ρ (g/cm³)
1,13.2
2,6.6
3,10.3
4,14.9
5,3.1
6,8.7
7,11.0
8,11.4